A geometry-optimized Mn2V2Ga structure, computed with PBE.

Structure (extended XYZ):
```
10
Lattice="4.110 0.009 0.014 -0.011 4.854 -0.004 -0.017 -1.349 6.186" Properties=species:S:1:pos:R:3 pbc="T T T"
Ga 1.891 1.138 3.085
Ga 3.949 4.275 0.016
V 3.942 0.339 4.851
V 1.890 3.493 1.851
V 1.881 3.660 4.383
V 1.882 1.441 5.675
Mn 1.899 0.810 0.594
Mn 3.951 -0.204 2.498
Mn 3.941 2.486 3.672
Mn 3.950 1.982 1.323
```

- E_form: -0.172 eV/atom
- Relative energy among the computed polymorphs: 2.8 kJ per mole of atoms
- Space-group type: No. 6



A geometry-optimized Mn2V3Ga2 structure, computed with PBE.

Structure (extended XYZ):
```
7
Lattice="3.987 -0.020 -1.273 -2.184 3.570 -0.016 -0.153 -0.064 6.403" Properties=species:S:1:pos:R:3 pbc="T T T"
Ga -0.760 2.009 4.470
Ga 2.410 1.477 0.644
V 0.000 0.000 0.000
V 0.841 2.979 2.588
V 0.809 0.506 2.526
Mn 1.513 0.947 4.724
Mn 0.137 2.539 0.390
```

- E_form: -0.192 eV/atom
- Space-group type: No. 166



A geometry-optimized Mn3V2Ga3 structure, computed with PBE.

Structure (extended XYZ):
```
8
Lattice="3.079 0.000 -0.646 -0.190 3.968 -0.904 0.196 -0.124 8.594" Properties=species:S:1:pos:R:3 pbc="T T T"
Ga 1.871 2.467 1.256
Ga 1.539 0.000 -0.323
Ga 1.215 1.377 5.788
V 0.751 2.943 3.579
V 2.334 0.901 3.464
Mn 2.682 3.387 5.122
Mn -0.095 1.984 -0.452
Mn 0.403 0.457 1.921
```

- E_form: -0.148 eV/atom
- Space-group type: No. 71



A geometry-optimized MnVGa2 structure, computed with PBE.

Structure (extended XYZ):
```
4
Lattice="-3.192 -1.954 0.848 -0.257 -1.153 -3.624 2.100 -3.071 0.828" Properties=species:S:1:pos:R:3 pbc="T T T"
Ga -0.128 -0.576 -1.812
Ga 1.050 -1.535 0.414
Mn -1.596 -0.977 0.424
V -0.674 -3.089 -0.974
```

- E_form: -0.142 eV/atom
- Space-group type: No. 123